No. 1
Crystalline AlWSe2N at its relaxed geometry, computed with GGA-PBE.

Summary:
Formation energy (no corrections) in eV/atom: 0.806
Energy above the lowest structure with this stoichiometry in meV per atom: 648

Unit cell a=4.983 b=4.983 c=3.501 alpha=90.00 beta=90.00 gamma=90.00
Positions (direct):
Al 0.000 0.000 0.000
W 0.500 0.500 0.500
Se 0.000 0.500 0.000
Se 0.500 0.000 0.000
N 0.000 0.000 0.500

No. 2
Crystalline AlWSe2N at its relaxed geometry, computed with GGA-PBE.

Summary:
Formation energy (no corrections) in eV/atom: 0.158
Energy above the lowest structure with this stoichiometry in meV per atom: 0

Unit cell a=5.092 b=5.092 c=3.817 alpha=90.00 beta=90.00 gamma=90.00
Positions (direct):
Al 0.000 0.000 0.000
W 0.500 0.500 0.500
Se 0.000 0.500 0.500
Se 0.500 0.000 0.500
N 0.500 0.500 0.000

No. 3
Crystalline YAlSe2N at its relaxed geometry, computed with GGA-PBE.

Summary:
Formation energy (no corrections) in eV/atom: 0.228
Energy above the lowest structure with this stoichiometry in meV per atom: 872

Unit cell a=5.544 b=5.544 c=4.288 alpha=90.00 beta=90.00 gamma=90.00
Positions (direct):
Y 0.000 0.000 0.000
Al 0.500 0.500 0.500
Se 0.000 0.500 0.000
Se 0.500 0.000 0.000
N 0.000 0.000 0.500

No. 4
Crystalline YAlSe2N at its relaxed geometry, computed with GGA-PBE.

Summary:
Formation energy (no corrections) in eV/atom: -0.644
Energy above the lowest structure with this stoichiometry in meV per atom: 0

Unit cell a=5.076 b=5.076 c=3.666 alpha=90.00 beta=90.00 gamma=90.00
Positions (direct):
Y 0.000 0.000 0.000
Al 0.500 0.500 0.500
Se 0.000 0.500 0.500
Se 0.500 0.000 0.500
N 0.500 0.500 0.000

No. 5
Crystalline AlZnSeN2 at its relaxed geometry, computed with GGA-PBE.

Summary:
Formation energy (no corrections) in eV/atom: 0.582
Energy above the lowest structure with this stoichiometry in meV per atom: 0

Unit cell a=3.677 b=3.677 c=5.880 alpha=90.00 beta=90.00 gamma=90.00
Positions (direct):
Al 0.000 0.000 0.000
Zn 0.500 0.500 0.500
Se 0.000 0.000 0.500
N 0.000 0.500 0.000
N 0.500 0.000 0.000

No. 6
Crystalline AlZnSe2N at its relaxed geometry, computed with GGA-PBE.

Summary:
Formation energy (no corrections) in eV/atom: 0.789
Energy above the lowest structure with this stoichiometry in meV per atom: 495

Unit cell a=5.069 b=5.069 c=3.675 alpha=90.00 beta=90.00 gamma=90.00
Positions (direct):
Al 0.000 0.000 0.000
Zn 0.500 0.500 0.500
Se 0.000 0.500 0.500
Se 0.500 0.000 0.500
N 0.500 0.500 0.000

No. 7
Crystalline AlZnSe2N at its relaxed geometry, computed with GGA-PBE.

Summary:
Formation energy (no corrections) in eV/atom: 0.294
Energy above the lowest structure with this stoichiometry in meV per atom: 0

Unit cell a=5.183 b=5.183 c=3.494 alpha=90.00 beta=90.00 gamma=90.00
Positions (direct):
Al 0.000 0.000 0.000
Zn 0.500 0.500 0.500
Se 0.000 0.500 0.000
Se 0.500 0.000 0.000
N 0.000 0.000 0.500

No. 8
Crystalline AlZnSeN2 at its relaxed geometry, computed with GGA-PBE.

Summary:
Formation energy (no corrections) in eV/atom: 1.278
Energy above the lowest structure with this stoichiometry in meV per atom: 695

Unit cell a=3.854 b=3.854 c=5.676 alpha=90.00 beta=90.00 gamma=90.00
Positions (direct):
Al 0.000 0.000 0.000
Zn 0.500 0.500 0.500
Se 0.500 0.500 0.000
N 0.000 0.500 0.500
N 0.500 0.000 0.500

No. 9
Crystalline ZrAlSeN2 at its relaxed geometry, computed with GGA-PBE.

Summary:
Formation energy (no corrections) in eV/atom: 0.059
Energy above the lowest structure with this stoichiometry in meV per atom: 0

Unit cell a=3.812 b=3.812 c=4.910 alpha=90.00 beta=90.00 gamma=90.00
Positions (direct):
Zr 0.000 0.000 0.000
Al 0.500 0.500 0.500
Se 0.500 0.500 0.000
N 0.000 0.500 0.500
N 0.500 0.000 0.500

No. 10
Crystalline ZrAlSe2N at its relaxed geometry, computed with GGA-PBE.

Summary:
Formation energy (no corrections) in eV/atom: -0.055
Energy above the lowest structure with this stoichiometry in meV per atom: 164

Unit cell a=5.359 b=5.359 c=4.040 alpha=90.00 beta=90.00 gamma=90.00
Positions (direct):
Zr 0.000 0.000 0.000
Al 0.500 0.500 0.500
Se 0.000 0.500 0.000
Se 0.500 0.000 0.000
N 0.000 0.000 0.500

No. 11
Crystalline ZrAl2SeN at its relaxed geometry, computed with GGA-PBE.

Summary:
Formation energy (no corrections) in eV/atom: 0.954

Unit cell a=5.114 b=5.114 c=3.738 alpha=90.00 beta=90.00 gamma=90.00
Positions (direct):
Zr 0.000 0.000 0.000
Al 0.000 0.500 0.500
Al 0.500 0.000 0.500
Se 0.500 0.500 0.500
N 0.500 0.500 0.000

No. 12
Crystalline ZrAlSe2N at its relaxed geometry, computed with GGA-PBE.

Summary:
Formation energy (no corrections) in eV/atom: -0.219
Energy above the lowest structure with this stoichiometry in meV per atom: 0

Unit cell a=5.028 b=5.028 c=3.539 alpha=90.00 beta=90.00 gamma=90.00
Positions (direct):
Zr 0.000 0.000 0.000
Al 0.500 0.500 0.500
Se 0.000 0.500 0.500
Se 0.500 0.000 0.500
N 0.500 0.500 0.000

No. 13
Crystalline ZrAlSeN2 at its relaxed geometry, computed with GGA-PBE.

Summary:
Formation energy (no corrections) in eV/atom: 0.274
Energy above the lowest structure with this stoichiometry in meV per atom: 215

Unit cell a=4.106 b=4.106 c=5.692 alpha=90.00 beta=90.00 gamma=90.00
Positions (direct):
Zr 0.000 0.000 0.000
Al 0.500 0.500 0.500
Se 0.000 0.000 0.500
N 0.000 0.500 0.000
N 0.500 0.000 0.000

No. 14
Crystalline Al3SiN at its relaxed geometry, computed with GGA-PBE.

Summary:
Formation energy (no corrections) in eV/atom: 1.436
Energy above the lowest structure with this stoichiometry in meV per atom: 1380

Unit cell a=4.677 b=4.677 c=4.677 alpha=90.00 beta=90.00 gamma=90.00
Positions (direct):
Al 0.000 0.000 0.500
Al 0.000 0.500 0.000
Al 0.500 0.000 0.000
Si 0.000 0.000 0.000
N 0.500 0.500 0.500

No. 15
Crystalline Al3SiN at its relaxed geometry, computed with GGA-PBE.

Summary:
Formation energy (no corrections) in eV/atom: 0.055
Energy above the lowest structure with this stoichiometry in meV per atom: 0

Unit cell a=4.087 b=4.087 c=4.087 alpha=90.00 beta=90.00 gamma=90.00
Positions (direct):
Al 0.000 0.000 0.500
Al 0.000 0.500 0.000
Al 0.500 0.000 0.000
Si 0.500 0.500 0.500
N 0.000 0.000 0.000

No. 16
Crystalline AlSi3N at its relaxed geometry, computed with GGA-PBE.

Summary:
Formation energy (no corrections) in eV/atom: 1.907
Energy above the lowest structure with this stoichiometry in meV per atom: 1329

Unit cell a=4.661 b=4.661 c=4.661 alpha=90.00 beta=90.00 gamma=90.00
Positions (direct):
Al 0.000 0.000 0.000
Si 0.000 0.000 0.500
Si 0.000 0.500 0.000
Si 0.500 0.000 0.000
N 0.500 0.500 0.500

No. 17
Crystalline Al2SiN2 at its relaxed geometry, computed with GGA-PBE.

Summary:
Formation energy (no corrections) in eV/atom: -0.211
Energy above the lowest structure with this stoichiometry in meV per atom: 0

Unit cell a=5.728 b=5.728 c=5.728 alpha=141.51 beta=141.51 gamma=55.57
Positions (direct):
Al 0.250 0.750 0.500
Al 0.750 0.250 0.500
Si 0.000 0.000 0.000
N 0.226 0.226 0.000
N 0.774 0.774 0.000

No. 18
Crystalline AlSi3N at its relaxed geometry, computed with GGA-PBE.

Summary:
Formation energy (no corrections) in eV/atom: 0.578
Energy above the lowest structure with this stoichiometry in meV per atom: 0

Unit cell a=4.072 b=4.072 c=4.072 alpha=90.00 beta=90.00 gamma=90.00
Positions (direct):
Al 0.000 0.000 0.000
Si 0.000 0.500 0.500
Si 0.500 0.000 0.500
Si 0.500 0.500 0.000
N 0.500 0.500 0.500

No. 19
Crystalline Al2SiN2 at its relaxed geometry, computed with GGA-PBE.

Summary:
Formation energy (no corrections) in eV/atom: 0.091
Energy above the lowest structure with this stoichiometry in meV per atom: 301

Unit cell a=5.368 b=5.368 c=3.871 alpha=90.00 beta=90.00 gamma=90.00
Positions (direct):
Al 0.168 0.332 0.000
Al 0.332 0.832 0.000
Al 0.668 0.168 0.000
Al 0.832 0.668 0.000
Si 0.000 0.000 0.500
Si 0.500 0.500 0.500
N 0.210 0.290 0.500
N 0.290 0.790 0.500
N 0.710 0.210 0.500
N 0.790 0.710 0.500

No. 20
Crystalline SrAlSiN3 at its relaxed geometry, computed with GGA-PBE.

Summary:
Formation energy (no corrections) in eV/atom: -1.252

Unit cell a=5.737 b=5.196 c=5.771 alpha=90.00 beta=119.43 gamma=90.00
Positions (direct):
Sr 0.185 0.000 0.190
Sr 0.815 0.500 0.810
Al 0.475 0.019 0.827
Al 0.525 0.519 0.173
Si 0.170 0.514 0.527
Si 0.830 0.014 0.473
N 0.139 0.844 0.602
N 0.280 0.499 0.297
N 0.384 0.369 0.835
N 0.616 0.869 0.165
N 0.720 0.999 0.703
N 0.861 0.344 0.398

No. 21
Crystalline Sm3AlN at its relaxed geometry, computed with GGA-PBE.

Summary:
Formation energy (no corrections) in eV/atom: -0.813
Energy above the lowest structure with this stoichiometry in meV per atom: 0

Unit cell a=4.918 b=4.918 c=4.918 alpha=90.00 beta=90.00 gamma=90.00
Positions (direct):
Sm 0.000 0.000 0.500
Sm 0.000 0.500 0.000
Sm 0.500 0.000 0.000
Al 0.500 0.500 0.500
N 0.000 0.000 0.000

No. 22
Crystalline Sm6Al2N at its relaxed geometry, computed with GGA-PBE.

Summary:
Formation energy (no corrections) in eV/atom: -0.478

Unit cell a=6.959 b=6.959 c=6.959 alpha=60.00 beta=60.00 gamma=60.00
Positions (direct):
Sm 0.245 0.245 0.755
Sm 0.245 0.755 0.245
Sm 0.245 0.755 0.755
Sm 0.755 0.245 0.245
Sm 0.755 0.245 0.755
Sm 0.755 0.755 0.245
Al 0.250 0.250 0.250
Al 0.750 0.750 0.750
N 0.000 0.000 0.000

No. 23
Crystalline Sm4Al2N at its relaxed geometry, computed with GGA-PBE.

Summary:
Formation energy (no corrections) in eV/atom: -0.547

Unit cell a=8.522 b=8.522 c=8.522 alpha=146.92 beta=146.92 gamma=47.48
Positions (direct):
Sm 0.000 0.500 0.500
Sm 0.166 0.166 0.000
Sm 0.500 0.000 0.500
Sm 0.834 0.834 0.000
Al 0.367 0.367 0.000
Al 0.633 0.633 0.000
N 0.000 0.000 0.000

No. 24
Crystalline SmAlN at its relaxed geometry, computed with GGA-PBE.

Summary:
Formation energy (no corrections) in eV/atom: -0.912

Unit cell a=3.875 b=5.050 c=5.871 alpha=90.00 beta=90.02 gamma=90.00
Positions (direct):
Sm 0.250 0.250 0.118
Sm 0.750 0.750 0.882
Al 0.248 0.750 0.433
Al 0.752 0.250 0.567
N 0.250 0.750 0.112
N 0.750 0.250 0.888

No. 25
Crystalline Sm3AlN at its relaxed geometry, computed with GGA-PBE.

Summary:
Formation energy (no corrections) in eV/atom: 1.152
Energy above the lowest structure with this stoichiometry in meV per atom: 1966

Unit cell a=5.465 b=5.465 c=5.465 alpha=90.00 beta=90.00 gamma=90.00
Positions (direct):
Sm 0.000 0.000 0.500
Sm 0.000 0.500 0.000
Sm 0.500 0.000 0.000
Al 0.000 0.000 0.000
N 0.500 0.500 0.500

No. 26
Crystalline Sm4AlN at its relaxed geometry, computed with GGA-PBE.

Summary:
Formation energy (no corrections) in eV/atom: -0.080

Unit cell a=4.708 b=4.708 c=6.788 alpha=90.00 beta=90.00 gamma=90.00
Positions (direct):
Sm 0.000 0.500 0.225
Sm 0.000 0.500 0.775
Sm 0.500 0.000 0.225
Sm 0.500 0.000 0.775
Al 0.000 0.000 0.500
N 0.500 0.500 0.000

No. 27
Crystalline Sm12Al4SnN3 at its relaxed geometry, computed with GGA-PBE.

Summary:
Formation energy (no corrections) in eV/atom: -0.494

Unit cell a=8.877 b=8.877 c=8.877 alpha=109.47 beta=109.47 gamma=109.47
Positions (direct):
Sm 0.000 0.275 0.275
Sm 0.000 0.725 0.725
Sm 0.250 0.500 0.750
Sm 0.250 0.750 0.500
Sm 0.275 0.000 0.275
Sm 0.275 0.275 0.000
Sm 0.500 0.250 0.750
Sm 0.500 0.750 0.250
Sm 0.725 0.000 0.725
Sm 0.725 0.725 0.000
Sm 0.750 0.250 0.500
Sm 0.750 0.500 0.250
Al 0.000 0.000 0.500
Al 0.000 0.500 0.000
Al 0.500 0.000 0.000
Al 0.500 0.500 0.500
Sn 0.000 0.000 0.000
N 0.000 0.500 0.500
N 0.500 0.000 0.500
N 0.500 0.500 0.000

no.,magnetization (μB/f.u.)
1,1.463
2,0.000
3,0.018
4,0.001
5,1.243
6,0.000
7,0.000
8,2.959
9,0.000
10,0.000
11,0.000
12,0.000
13,0.515
14,0.000
15,0.000
16,0.000
17,0.000
18,0.000
19,0.000
20,0.000
21,0.000
22,0.000
23,0.000
24,0.000
25,0.001
26,0.000
27,0.000